[1]
The following is a DFT calculation (PBE) of Ag7Pt5 after structural relaxation.

## Properties
ΔH_f (0 K): 31.6 meV per atom
energy above the lowest structure with this stoichiometry: 0.033 eV per atom
DOS(E_F): 6.66 states/eV per cell
size of the total moment: 0.00 μB/f.u.
space-group type: Pmmm
crystal system: orthorhombic
electronic total energy: -4.149 eV/atom

a b c (Å): 4.073 5.740 8.620
angles (deg): 90.00 90.00 90.00
Fractional positions:
Pt: 0.500 0.739 0.833
Ag: 0.500 0.250 0.165
Ag: 0.500 0.750 0.502
Ag: 0.500 0.250 0.502
Pt: 0.000 0.500 0.991
Ag: 0.500 0.750 0.165
Pt: 0.500 0.261 0.833
Pt: 0.000 0.500 0.676
Ag: 0.000 0.000 0.669
Ag: 0.000 0.000 0.998
Pt: 0.000 0.000 0.333
Ag: 0.000 0.500 0.333

---

[2]
The following is a DFT calculation (PBE) of Ag4Pt after structural relaxation.

## Properties
ΔH_f (0 K): 411.3 meV per atom
energy above the lowest structure with this stoichiometry: 0.398 eV per atom
DOS(E_F): 1.88 states/eV per cell
size of the total moment: 0.00 μB/f.u.
space-group type: I4/mmm
crystal system: tetragonal
electronic total energy: -3.078 eV/atom

a b c (Å): 5.288 5.288 5.288
angles (deg): 102.86 102.86 123.70
Fractional positions:
Ag: 0.702 0.298 0.000
Ag: 0.298 0.298 0.595
Ag: 0.702 0.702 0.405
Pt: 0.000 0.000 0.000
Ag: 0.298 0.702 0.000

---

[3]
The following is a DFT calculation (PBE) of AgPt5 after structural relaxation.

## Properties
ΔH_f (0 K): 14.8 meV per atom
DOS(E_F): 6.85 states/eV per cell
size of the total moment: 0.00 μB/f.u.
space-group type: Cmmm
crystal system: orthorhombic
electronic total energy: -5.494 eV/atom

a b c (Å): 4.013 6.363 3.937
angles (deg): 90.00 90.00 71.62
Fractional positions:
Pt: 0.528 0.944 0.500
Pt: 0.363 0.275 0.000
Pt: 0.858 0.284 0.500
Pt: 0.198 0.605 0.500
Pt: 0.693 0.614 0.000
Ag: 0.028 0.944 0.000